First-principles (GGA-PBE) data for an optimized crystal structure of U2NbSe4, as listed in the Alexandria database.

Structure (POSCAR):
```
U2NbSe4
1.0
4.173 -5.499 0.000
4.173 5.499 0.000
0.000 0.000 3.781
U Nb Se
2 1 4
Direct
0.000 0.500 0.000
0.500 0.000 0.000
0.000 0.000 0.500
0.236 0.236 0.000
0.253 0.747 0.500
0.747 0.253 0.500
0.764 0.764 0.000
```

- SG = Cmmm (65)
- D(E_F) (states/eV/cell) = 15.25
- theoretical density (g/cm3) = 8.47
- formation energy from raw total energies (kJ/mol of formula units) = -651
- crystal system = orthorhombic